1.
LaPaTlAu | GGA-PBE | relaxed

The space group is F-43m (No. 216) and the conventional cell measures 7.6033, 7.6033 and 7.6033 Å, with angles of 90.00, 90.00 and 90.00 degrees. Symmetry generates all atoms from La at (0.0000, 0.0000, 0.0000), Pa at (0.0000, 0.0000, 0.5000), Tl at (0.2500, 0.2500, 0.7500) and Au at (0.2500, 0.2500, 0.2500).

***

2.
LaPaZnAu | GGA-PBE | relaxed

The space group is F-43m (No. 216) and the conventional cell measures 7.3556, 7.3556 and 7.3556 Å, with angles of 90.00, 90.00 and 90.00 degrees. Symmetry generates all atoms from La at (0.0000, 0.0000, 0.0000), Pa at (0.0000, 0.0000, 0.5000), Zn at (0.2500, 0.2500, 0.7500) and Au at (0.2500, 0.2500, 0.2500).

***

3.
LaPb2Au | GGA-PBE | relaxed

The space group is I-42d (No. 122) and the conventional cell measures 4.5786, 4.5786 and 23.0542 Å, with angles of 90.00, 90.00 and 90.00 degrees. Symmetry generates all atoms from La at (0.0000, 0.0000, 0.0000), Pb at (0.2333, 0.2500, 0.6250) and Au at (0.0000, 0.0000, 0.5000).

***

4.
La6PbAu5 | GGA-PBE | relaxed

The space group is C2/m (No. 12) and the conventional cell measures 16.9991, 7.7173 and 5.3645 Å, with angles of 90.00, 108.39 and 90.00 degrees. Symmetry generates all atoms from La at (0.0000, 0.2345, 0.0000), La at (0.1725, 0.2439, 0.6710), Pb at (0.0000, 0.5000, 0.5000), Au at (0.0000, 0.0000, 0.5000), Au at (0.1576, 0.5000, 0.1550) and Au at (0.1676, 0.0000, 0.1649).

***

5.
La5PbAu2 | GGA-PBE | relaxed

The space group is I4/mcm (No. 140) and the conventional cell measures 8.5344, 8.5344 and 13.8159 Å, with angles of 90.00, 90.00 and 90.00 degrees. Symmetry generates all atoms from La at (0.0000, 0.0000, 0.0000), La at (0.1568, 0.3432, 0.1434), Pb at (0.0000, 0.0000, 0.2500) and Au at (0.1355, 0.3645, 0.5000).

***

6.
La2PbAu | GGA-PBE | relaxed

The space group is F-43m (No. 216) and the conventional cell measures 7.6703, 7.6703 and 7.6703 Å, with angles of 90.00, 90.00 and 90.00 degrees. Symmetry generates all atoms from La at (0.0000, 0.0000, 0.0000), La at (0.2500, 0.2500, 0.2500), Pb at (0.0000, 0.0000, 0.5000) and Au at (0.2500, 0.2500, 0.7500).

***

7.
LaPb2Au | GGA-PBE | relaxed

The space group is I4/mmm (No. 139) and the conventional cell measures 4.5305, 4.5305 and 11.1733 Å, with angles of 90.00, 90.00 and 90.00 degrees. Symmetry generates all atoms from La at (0.0000, 0.0000, 0.0000), Pb at (0.0000, 0.5000, 0.2500) and Au at (0.0000, 0.0000, 0.5000).

***

8.
LaPb4Au | GGA-PBE | relaxed

The space group is F-43m (No. 216) and the conventional cell measures 9.0385, 9.0385 and 9.0385 Å, with angles of 90.00, 90.00 and 90.00 degrees. Symmetry generates all atoms from La at (0.0000, 0.0000, 0.0000), Pb at (0.1255, 0.1255, 0.6255) and Au at (0.2500, 0.2500, 0.2500).

***

9.
La2PbAu | GGA-PBE | relaxed

The space group is Pmmm (No. 47) and the conventional cell measures 3.7410, 3.8015 and 8.2728 Å, with angles of 90.00, 90.00 and 90.00 degrees. Symmetry generates all atoms from La at (0.0000, 0.0000, 0.2287), Pb at (0.5000, 0.5000, 0.5000) and Au at (0.5000, 0.5000, 0.0000).

***

10.
La3PbAu | GGA-PBE | relaxed

The space group is Pm-3m (No. 221) and the conventional cell measures 5.7707, 5.7707 and 5.7707 Å, with angles of 90.00, 90.00 and 90.00 degrees. Symmetry generates all atoms from La at (0.0000, 0.0000, 0.5000), Pb at (0.5000, 0.5000, 0.5000) and Au at (0.0000, 0.0000, 0.0000).

***

11.
LaPbAu4 | GGA-PBE | relaxed

The space group is F-43m (No. 216) and the conventional cell measures 8.1374, 8.1374 and 8.1374 Å, with angles of 90.00, 90.00 and 90.00 degrees. Symmetry generates all atoms from La at (0.0000, 0.0000, 0.0000), Pb at (0.2500, 0.2500, 0.7500) and Au at (0.1249, 0.1249, 0.3751).

***

12.
La6Pb2Au | GGA-PBE | relaxed

The space group is P-62m (No. 189) and the conventional cell measures 8.8025, 8.8025 and 4.4365 Å, with angles of 90.00, 90.00 and 120.00 degrees. Symmetry generates all atoms from La at (0.0000, 0.2497, 0.0000), La at (0.0000, 0.5897, 0.5000), Pb at (0.3333, 0.6667, 0.0000) and Au at (0.0000, 0.0000, 0.5000).

***

13.
LaPb2Au9 | GGA-PBE | relaxed

The space group is P6_3/mmc (No. 194) and the conventional cell measures 5.7084, 5.7084 and 18.6438 Å, with angles of 90.00, 90.00 and 120.00 degrees. Symmetry generates all atoms from La at (0.3333, 0.6667, 0.2500), Pb at (0.3333, 0.6667, 0.0330), Au at (0.0000, 0.0000, 0.0000), Au at (0.0000, 0.0000, 0.2500), Au at (0.1678, 0.3357, 0.6248) and Au at (0.3333, 0.6667, 0.7500).

***

14.
LaPb2Au | GGA-PBE | relaxed

The space group is Pm (No. 6) and the conventional cell measures 4.4781, 4.5199 and 6.1114 Å, with angles of 90.00, 107.10 and 90.00 degrees. Symmetry generates all atoms from La at (0.0000, 0.0000, 0.0000), Pb at (0.3260, 0.0000, 0.5562), Pb at (0.7657, 0.5000, 0.4233) and Au at (0.4520, 0.5000, 0.9084).

***

15.
La2PbAu | GGA-PBE | relaxed

The space group is I-42d (No. 122) and the conventional cell measures 8.5377, 8.5377 and 7.0816 Å, with angles of 90.00, 90.00 and 90.00 degrees. Symmetry generates all atoms from La at (0.2202, 0.2500, 0.1250), Pb at (0.0000, 0.0000, 0.5000) and Au at (0.0000, 0.0000, 0.0000).

***

16.
LaPbAu4 | GGA-PBE | relaxed

The space group is Pbam (No. 55) and the conventional cell measures 10.7676, 13.9191 and 3.9796 Å, with angles of 90.00, 90.00 and 90.00 degrees. Symmetry generates all atoms from La at (0.1189, 0.1198, 0.0000), Pb at (0.1137, 0.4109, 0.0000), Au at (0.0134, 0.7364, 0.5000), Au at (0.1083, 0.9383, 0.5000), Au at (0.1653, 0.5696, 0.5000) and Au at (0.2418, 0.2708, 0.5000).

***

17.
La2PbAu6 | GGA-PBE | relaxed

The space group is P6/mmm (No. 191) and the conventional cell measures 8.2621, 8.2621 and 3.7205 Å, with angles of 90.00, 90.00 and 120.00 degrees. Symmetry generates all atoms from La at (0.3333, 0.6667, 0.0000), Pb at (0.0000, 0.0000, 0.0000) and Au at (0.0000, 0.3339, 0.5000).

***

18.
LaPb2Au | GGA-PBE | relaxed

The space group is Pmmm (No. 47) and the conventional cell measures 3.8077, 3.8401 and 7.5825 Å, with angles of 90.00, 90.00 and 90.00 degrees. Symmetry generates all atoms from La at (0.0000, 0.0000, 0.0000), Pb at (0.5000, 0.5000, 0.2912) and Au at (0.0000, 0.0000, 0.5000).

***

19.
LaPb2Au | GGA-PBE | relaxed

The space group is I4/mmm (No. 139) and the conventional cell measures 5.0931, 5.0931 and 17.1938 Å, with angles of 90.00, 90.00 and 90.00 degrees. Symmetry generates all atoms from La at (0.0000, 0.0000, 0.1405), Pb at (0.0000, 0.0000, 0.3598), Pb at (0.0000, 0.5000, 0.0000) and Au at (0.0000, 0.5000, 0.2500).

***

20.
La5Pb2Au | GGA-PBE | relaxed

The space group is Pbam (No. 55) and the conventional cell measures 8.3465, 13.0437 and 4.9429 Å, with angles of 90.00, 90.00 and 90.00 degrees. Symmetry generates all atoms from La at (0.0000, 0.0000, 0.0000), La at (0.1561, 0.2832, 0.0000), La at (0.1861, 0.5652, 0.5000), Pb at (0.0725, 0.8289, 0.5000) and Au at (0.0000, 0.5000, 0.0000).

***

21.
LaPb2Au | GGA-PBE | relaxed

The space group is P4/mmm (No. 123) and the conventional cell measures 4.8101, 4.8101 and 4.7536 Å, with angles of 90.00, 90.00 and 90.00 degrees. Symmetry generates all atoms from La at (0.0000, 0.0000, 0.0000), Pb at (0.0000, 0.5000, 0.5000) and Au at (0.5000, 0.5000, 0.0000).

***

22.
LaPb3Au | GGA-PBE | relaxed

The space group is Pm-3m (No. 221) and the conventional cell measures 6.1300, 6.1300 and 6.1300 Å, with angles of 90.00, 90.00 and 90.00 degrees. Symmetry generates all atoms from La at (0.0000, 0.0000, 0.0000), Pb at (0.0000, 0.0000, 0.5000) and Au at (0.5000, 0.5000, 0.5000).

***

23.
La2PbAu | GGA-PBE | relaxed

The space group is I-4m2 (No. 119) and the conventional cell measures 4.6062, 4.6062 and 10.9480 Å, with angles of 90.00, 90.00 and 90.00 degrees. Symmetry generates all atoms from La at (0.0000, 0.0000, 0.0000), La at (0.0000, 0.5000, 0.2500), Pb at (0.0000, 0.5000, 0.7500) and Au at (0.0000, 0.0000, 0.5000).

***

24.
LaPb2Au9 | GGA-PBE | relaxed

The space group is R-3m (No. 166, hexagonal axes) and the conventional cell measures 5.6822, 5.6822 and 28.2163 Å, with angles of 90.00, 90.00 and 120.00 degrees. Symmetry generates all atoms from La at (0.0000, 0.0000, 0.0000), Pb at (0.0000, 0.0000, 0.1460), Au at (0.0000, 0.0000, 0.3330), Au at (0.0000, 0.0000, 0.5000) and Au at (0.0017, 0.5009, 0.9169).

***

Let's list total energy in order: -5.13; -4.89; -4.19; -4.88; -4.96; -4.42; -4.27; -3.88; -4.88; -4.64; -4.08; -4.98; -3.73; -4.31; -4.64; -4.05; -4.24; -4.12; -4.46; -5.00; -4.38; -3.01; -4.80; -3.74 eV/atom.
Let's list energy of formation in order: -10.5; -13.7; -27.6; -71.1; -57.3; -19.8; -34.8; -3.5; -65.0; -27.3; -44.2; -48.5; -23.6; -39.2; -41.2; -40.9; -53.4; -21.0; -53.2; -56.3; -45.8; 82.5; -56.7; -24.2 kJ per mole of atoms.